# LaTa2Se2 (PBE, relaxed)
# ΔE to the lowest computed polymorph in kJ/mol of formula units: 0
# Final energy in eV/atom: -7.59
# Uncorrected formation energy in kJ/mol of formula units: -228.1
data_LaTa2Se2
_symmetry_space_group_name_H-M 'I 4/m m m'
_symmetry_Int_Tables_number 139
_symmetry_space_group_name_Hall '-I 4 2'
_cell_length_a 4.9547
_cell_length_b 4.9547
_cell_length_c 9.0928
_cell_angle_alpha 90.00
_cell_angle_beta 90.00
_cell_angle_gamma 90.00
loop_
_atom_site_label
_atom_site_type_symbol
_atom_site_fract_x
_atom_site_fract_y
_atom_site_fract_z
La1 La 0.0000 0.0000 0.0000
Ta1 Ta 0.0000 0.0000 0.3665
Se1 Se 0.0000 0.5000 0.2500

=====

# Pu4Ga5Si2 (PBE, relaxed)
# ΔE to the lowest computed polymorph in kJ/mol of formula units: 0
# Final energy in eV/atom: -7.88
# Uncorrected formation energy in kJ/mol of formula units: -326.9
data_Pu4Ga5Si2
_symmetry_space_group_name_H-M 'P 1 2/m 1'
_symmetry_Int_Tables_number 10
_symmetry_space_group_name_Hall '-P 2y'
_cell_length_a 6.6970
_cell_length_b 4.4058
_cell_length_c 8.0135
_cell_angle_alpha 90.00
_cell_angle_beta 93.69
_cell_angle_gamma 90.00
loop_
_atom_site_label
_atom_site_type_symbol
_atom_site_fract_x
_atom_site_fract_y
_atom_site_fract_z
Pu1 Pu 0.2058 0.0000 0.3626
Pu2 Pu 0.2340 0.0000 0.9143
Ga1 Ga 0.1445 0.5000 0.6285
Ga2 Ga 0.4592 0.5000 0.1663
Ga3 Ga 0.5000 0.5000 0.5000
Si1 Si 0.0795 0.5000 0.1342

=====

# CeSmEr2Tm (PBE, relaxed)
# ΔE_f in eV/atom: 0.29
# Final energy in eV/atom: -4.56
data_CeSmEr2Tm
_symmetry_space_group_name_H-M 'P m m a'
_symmetry_Int_Tables_number 51
_symmetry_space_group_name_Hall '-P 2a 2a'
_cell_length_a 5.8094
_cell_length_b 7.6660
_cell_length_c 7.2035
_cell_angle_alpha 90.00
_cell_angle_beta 90.00
_cell_angle_gamma 90.00
loop_
_atom_site_label
_atom_site_type_symbol
_atom_site_fract_x
_atom_site_fract_y
_atom_site_fract_z
Ce1 Ce 0.0000 0.0000 0.0000
Sm1 Sm 0.2500 0.5000 0.1630
Er1 Er 0.2500 0.2908 0.6760
Tm1 Tm 0.2500 0.0000 0.3851

=====

# BaHf2Zr (PBE, relaxed)
# ΔE to the lowest computed polymorph in kJ/mol of formula units: 0
# ΔE_f in eV/atom: 0.74
# Final energy in eV/atom: -6.86
data_BaHf2Zr
_symmetry_space_group_name_H-M 'F m -3 m'
_symmetry_Int_Tables_number 225
_symmetry_space_group_name_Hall '-F 4 2 3'
_cell_length_a 7.4899
_cell_length_b 7.4899
_cell_length_c 7.4899
_cell_angle_alpha 90.00
_cell_angle_beta 90.00
_cell_angle_gamma 90.00
loop_
_atom_site_label
_atom_site_type_symbol
_atom_site_fract_x
_atom_site_fract_y
_atom_site_fract_z
Ba1 Ba 0.0000 0.0000 0.0000
Hf1 Hf 0.2500 0.2500 0.2500
Zr1 Zr 0.0000 0.0000 0.5000

=====

# GeTe2AuN (PBE, relaxed)
# ΔE to the lowest computed polymorph in kJ/mol of formula units: 15
# Final energy in eV/atom: -3.74
# Uncorrected formation energy in kJ/mol of formula units: 365.0
data_GeTe2AuN
_symmetry_space_group_name_H-M 'P 4/m m m'
_symmetry_Int_Tables_number 123
_symmetry_space_group_name_Hall '-P 4 2'
_cell_length_a 5.0263
_cell_length_b 5.0263
_cell_length_c 4.2261
_cell_angle_alpha 90.00
_cell_angle_beta 90.00
_cell_angle_gamma 90.00
loop_
_atom_site_label
_atom_site_type_symbol
_atom_site_fract_x
_atom_site_fract_y
_atom_site_fract_z
Ge1 Ge 0.0000 0.0000 0.0000
Te1 Te 0.0000 0.5000 0.5000
Au1 Au 0.5000 0.5000 0.0000
N1 N 0.5000 0.5000 0.5000

=====

# Be2OsRu (PBE, relaxed)
# ΔE to the lowest computed polymorph in kJ/mol of formula units: 224
# ΔE_f in eV/atom: 0.35
# Final energy in eV/atom: -6.64
data_Be2OsRu
_symmetry_space_group_name_H-M 'I -4 2 d'
_symmetry_Int_Tables_number 122
_symmetry_space_group_name_Hall 'I -4 2bw'
_cell_length_a 5.9477
_cell_length_b 5.9477
_cell_length_c 5.2993
_cell_angle_alpha 90.00
_cell_angle_beta 90.00
_cell_angle_gamma 90.00
loop_
_atom_site_label
_atom_site_type_symbol
_atom_site_fract_x
_atom_site_fract_y
_atom_site_fract_z
Be1 Be 0.2463 0.2500 0.1250
Os1 Os 0.0000 0.0000 0.5000
Ru1 Ru 0.0000 0.0000 0.0000

=====

# Pm4Ho5Tm (PBE, relaxed)
# ΔE to the lowest computed polymorph in kJ/mol of formula units: 52
# ΔE_f in eV/atom: 0.24
# Final energy in eV/atom: -4.39
data_Pm4Ho5Tm
_symmetry_space_group_name_H-M 'I 4 m m'
_symmetry_Int_Tables_number 107
_symmetry_space_group_name_Hall 'I 4 -2'
_cell_length_a 10.6473
_cell_length_b 10.6473
_cell_length_c 5.9175
_cell_angle_alpha 90.00
_cell_angle_beta 90.00
_cell_angle_gamma 90.00
loop_
_atom_site_label
_atom_site_type_symbol
_atom_site_fract_x
_atom_site_fract_y
_atom_site_fract_z
Pm1 Pm 0.0000 0.3229 0.0000
Ho1 Ho 0.0000 0.0000 0.2407
Ho2 Ho 0.1886 0.1886 0.5039
Tm1 Tm 0.0000 0.0000 0.7642

=====

# Y3OsN (PBE, relaxed)
# ΔE to the lowest computed polymorph in kJ/mol of formula units: 0
# Final energy in eV/atom: -8.36
# Uncorrected formation energy in kJ/mol of formula units: -272.9
data_Y3OsN
_symmetry_space_group_name_H-M 'P m -3 m'
_symmetry_Int_Tables_number 221
_symmetry_space_group_name_Hall '-P 4 2 3'
_cell_length_a 4.6889
_cell_length_b 4.6889
_cell_length_c 4.6889
_cell_angle_alpha 90.00
_cell_angle_beta 90.00
_cell_angle_gamma 90.00
loop_
_atom_site_label
_atom_site_type_symbol
_atom_site_fract_x
_atom_site_fract_y
_atom_site_fract_z
Y1 Y 0.0000 0.0000 0.5000
Os1 Os 0.5000 0.5000 0.5000
N1 N 0.0000 0.0000 0.0000

=====

# Th6Si3SbSe2 (PBE, relaxed)
# Final energy in eV/atom: -7.04
# Uncorrected formation energy in kJ/mol of formula units: -1220.2
data_Th6Si3SbSe2
_symmetry_space_group_name_H-M 'C 1 2/m 1'
_symmetry_Int_Tables_number 12
_symmetry_space_group_name_Hall '-C 2y'
_cell_length_a 18.7975
_cell_length_b 4.2832
_cell_length_c 8.6481
_cell_angle_alpha 90.00
_cell_angle_beta 103.99
_cell_angle_gamma 90.00
loop_
_atom_site_label
_atom_site_type_symbol
_atom_site_fract_x
_atom_site_fract_y
_atom_site_fract_z
Th1 Th 0.0025 0.0000 0.2326
Th2 Th 0.1619 0.5000 0.0933
Th3 Th 0.1735 0.5000 0.5730
Si1 Si 0.0000 0.5000 0.0000
Si2 Si 0.1655 0.0000 0.3308
Sb1 Sb 0.0000 0.5000 0.5000
Se1 Se 0.1684 0.0000 0.8347

=====

# NaMnInGa2 (PBE, relaxed)
# ΔE_f in eV/atom: 0.02
# Final energy in eV/atom: -3.83
data_NaMnInGa2
_symmetry_space_group_name_H-M 'P 4/m m m'
_symmetry_Int_Tables_number 123
_symmetry_space_group_name_Hall '-P 4 2'
_cell_length_a 4.7118
_cell_length_b 4.7118
_cell_length_c 4.9969
_cell_angle_alpha 90.00
_cell_angle_beta 90.00
_cell_angle_gamma 90.00
loop_
_atom_site_label
_atom_site_type_symbol
_atom_site_fract_x
_atom_site_fract_y
_atom_site_fract_z
Na1 Na 0.0000 0.0000 0.0000
Mn1 Mn 0.5000 0.5000 0.5000
In1 In 0.5000 0.5000 0.0000
Ga1 Ga 0.0000 0.5000 0.5000

=====

# TiMnAgS4 (PBE, relaxed)
# Final energy in eV/atom: -5.96
# Uncorrected formation energy in kJ/mol of formula units: -512.0
data_TiMnAgS4
_symmetry_space_group_name_H-M 'I m m a'
_symmetry_Int_Tables_number 74
_symmetry_space_group_name_Hall '-I 2b 2'
_cell_length_a 7.2276
_cell_length_b 7.4011
_cell_length_c 10.2218
_cell_angle_alpha 90.00
_cell_angle_beta 90.00
_cell_angle_gamma 90.00
loop_
_atom_site_label
_atom_site_type_symbol
_atom_site_fract_x
_atom_site_fract_y
_atom_site_fract_z
Ti1 Ti 0.2500 0.2500 0.2500
Mn1 Mn 0.0000 0.0000 0.0000
Ag1 Ag 0.0000 0.2500 0.6267
S1 S 0.0000 0.0247 0.2359
S2 S 0.2210 0.2500 0.0122

=====

# Er5CdHg3 (PBE, relaxed)
# ΔE_f in eV/atom: -0.35
# Final energy in eV/atom: -3.09
data_Er5CdHg3
_symmetry_space_group_name_H-M 'P 63/m c m'
_symmetry_Int_Tables_number 193
_symmetry_space_group_name_Hall '-P 6c 2'
_cell_length_a 9.0733
_cell_length_b 9.0733
_cell_length_c 6.5791
_cell_angle_alpha 90.00
_cell_angle_beta 90.00
_cell_angle_gamma 120.00
loop_
_atom_site_label
_atom_site_type_symbol
_atom_site_fract_x
_atom_site_fract_y
_atom_site_fract_z
Er1 Er 0.0000 0.2980 0.2500
Er2 Er 0.3333 0.6667 0.0000
Cd1 Cd 0.0000 0.0000 0.0000
Hg1 Hg 0.0000 0.3709 0.7500

=====

Please write out number 3 again, unchanged.
# CeSmEr2Tm (PBE, relaxed)
# ΔE_f in eV/atom: 0.29
# Final energy in eV/atom: -4.56
data_CeSmEr2Tm
_symmetry_space_group_name_H-M 'P m m a'
_symmetry_Int_Tables_number 51
_symmetry_space_group_name_Hall '-P 2a 2a'
_cell_length_a 5.8094
_cell_length_b 7.6660
_cell_length_c 7.2035
_cell_angle_alpha 90.00
_cell_angle_beta 90.00
_cell_angle_gamma 90.00
loop_
_atom_site_label
_atom_site_type_symbol
_atom_site_fract_x
_atom_site_fract_y
_atom_site_fract_z
Ce1 Ce 0.0000 0.0000 0.0000
Sm1 Sm 0.2500 0.5000 0.1630
Er1 Er 0.2500 0.2908 0.6760
Tm1 Tm 0.2500 0.0000 0.3851

=====

Q: Among the records above, which one has the highest final energy?
A: Er5CdHg3

=====

Please write out number 3 again, unchanged.
# CeSmEr2Tm (PBE, relaxed)
# ΔE_f in eV/atom: 0.29
# Final energy in eV/atom: -4.56
data_CeSmEr2Tm
_symmetry_space_group_name_H-M 'P m m a'
_symmetry_Int_Tables_number 51
_symmetry_space_group_name_Hall '-P 2a 2a'
_cell_length_a 5.8094
_cell_length_b 7.6660
_cell_length_c 7.2035
_cell_angle_alpha 90.00
_cell_angle_beta 90.00
_cell_angle_gamma 90.00
loop_
_atom_site_label
_atom_site_type_symbol
_atom_site_fract_x
_atom_site_fract_y
_atom_site_fract_z
Ce1 Ce 0.0000 0.0000 0.0000
Sm1 Sm 0.2500 0.5000 0.1630
Er1 Er 0.2500 0.2908 0.6760
Tm1 Tm 0.2500 0.0000 0.3851

=====

Q: Look up the final energy of the eleventh one.
A: -5.96 eV/atom